Entry 1:
Computed, not measured: an optimized crystal structure of PmTeAuO at the PBE level of DFT.

Output
calculated volume = 322.1 Å³ per cell
offset from the most stable computed form = 0.78 eV/f.u.

```
PmTeAuO
1.0
-3.354 -6.890 1.144
0.809 -1.431 -6.246
5.719 -2.631 1.344
O Au Te Pm
4 4 4 4
Direct
0.497 0.257 0.995
0.497 0.243 0.495
0.503 0.757 0.505
0.503 0.743 0.005
0.058 0.797 0.490
0.942 0.203 0.510
0.942 0.297 0.010
0.058 0.703 0.990
0.804 0.535 0.704
0.804 0.965 0.204
0.196 0.035 0.796
0.196 0.465 0.296
0.391 0.521 0.757
0.609 0.021 0.743
0.391 0.979 0.257
0.609 0.479 0.243
```

***

Entry 2:
Computed, not measured: an optimized crystal structure of PmTeAuO at the PBE level of DFT.

Output
calculated volume = 340.1 Å³ per cell
offset from the most stable computed form = 0.16 eV/f.u.

```
PmTeAuO
1.0
-5.448 -1.003 1.803
0.543 -5.609 -1.479
3.423 -2.090 9.183
O Te Au Pm
4 4 4 4
Direct
0.750 0.250 0.000
0.250 0.250 0.000
0.250 0.750 0.000
0.750 0.750 0.000
0.000 0.000 0.708
0.500 0.000 0.292
0.000 0.500 0.292
0.500 0.500 0.708
0.250 0.750 0.500
0.750 0.750 0.500
0.750 0.250 0.500
0.250 0.250 0.500
0.000 0.000 0.113
0.500 0.000 0.887
0.000 0.500 0.887
0.500 0.500 0.113
```

***

Entry 3:
Computed, not measured: an optimized crystal structure of PmTeAuO at the PBE level of DFT.

Output
calculated volume = 343.5 Å³ per cell
offset from the most stable computed form = 0.12 eV/f.u.

```
PmTeAuO
1.0
5.818 0.000 0.000
0.000 5.820 0.000
0.000 0.000 10.145
Pm Au O Te
4 4 4 4
Direct
0.500 0.000 0.110
0.000 0.000 0.886
0.000 0.500 0.110
0.500 0.500 0.886
0.700 0.660 0.511
0.800 0.160 0.511
0.200 0.840 0.511
0.300 0.340 0.511
0.251 0.252 0.996
0.751 0.248 0.996
0.749 0.748 0.996
0.249 0.752 0.996
0.000 0.500 0.706
0.500 0.000 0.706
0.000 0.000 0.284
0.500 0.500 0.284
```

***

Entry 4:
Computed, not measured: an optimized crystal structure of PmTeAuO at the PBE level of DFT.

Output
calculated volume = 342.8 Å³ per cell
offset from the most stable computed form = 0.12 eV/f.u.

```
PmTeAuO
1.0
5.822 0.000 0.000
0.000 5.822 0.000
0.000 0.000 10.114
Au Te Pm O
4 4 4 4
Direct
0.681 0.181 0.489
0.181 0.319 0.489
0.319 0.819 0.489
0.819 0.681 0.489
0.000 0.000 0.295
0.500 0.000 0.717
0.000 0.500 0.717
0.500 0.500 0.295
0.500 0.000 0.114
0.000 0.500 0.114
0.000 0.000 0.890
0.500 0.500 0.890
0.751 0.749 0.004
0.749 0.249 0.004
0.249 0.251 0.004
0.251 0.751 0.004
```

***

Entry 5:
Computed, not measured: an optimized crystal structure of PrAuO3 at the PBE level of DFT.

Output
calculated volume = 73.6 Å³ per cell
E = -5.914 eV per atom

```
PrAuO3
1.0
-0.514 3.976 -0.797
-1.078 0.640 3.891
4.211 0.753 1.043
Pr Au O
1 1 3
Direct
0.000 0.000 0.968
0.500 0.500 0.569
0.500 0.500 0.074
0.500 0.000 0.644
0.000 0.500 0.644
```

***

Entry 6:
Computed, not measured: an optimized crystal structure of PrAuO3 at the PBE level of DFT.

Output
calculated volume = 148.1 Å³ per cell
E = -5.951 eV per atom

```
PrAuO3
1.0
-2.971 5.146 0.000
2.971 5.146 0.000
0.000 3.431 -4.844
O Pr Au
6 2 2
Direct
0.033 0.454 0.737
0.454 0.777 0.737
0.967 0.546 0.263
0.777 0.033 0.737
0.223 0.967 0.263
0.546 0.223 0.263
0.370 0.370 0.890
0.630 0.630 0.110
0.853 0.853 0.442
0.147 0.147 0.558
```

***

Entry 7:
Computed, not measured: an optimized crystal structure of PrAuO3 at the PBE level of DFT.

Output
calculated volume = 278.0 Å³ per cell
E = -6.256 eV per atom

```
PrAuO3
1.0
5.713 0.000 0.000
0.000 6.561 0.000
0.000 0.000 7.417
Pr Au O
4 4 12
Direct
0.032 0.900 0.750
0.532 0.600 0.250
0.468 0.400 0.750
0.968 0.100 0.250
0.500 0.000 0.000
0.000 0.500 0.500
0.000 0.500 0.000
0.500 0.000 0.500
0.199 0.150 0.554
0.357 0.941 0.250
0.143 0.441 0.250
0.699 0.350 0.054
0.301 0.650 0.946
0.199 0.150 0.946
0.857 0.559 0.750
0.301 0.650 0.554
0.801 0.850 0.446
0.643 0.059 0.750
0.699 0.350 0.446
0.801 0.850 0.054
```

***

Entry 8:
Computed, not measured: an optimized crystal structure of PrAuO3 at the PBE level of DFT.

Output
calculated volume = 136.2 Å³ per cell
E = -6.097 eV per atom

```
PrAuO3
1.0
4.250 -1.251 -3.396
4.497 3.262 0.539
4.382 -2.405 2.483
O Au Pr
6 2 2
Direct
0.750 0.359 0.141
0.641 0.859 0.250
0.359 0.141 0.750
0.250 0.641 0.859
0.141 0.750 0.359
0.859 0.250 0.641
0.500 0.500 0.500
0.000 0.000 0.000
0.750 0.750 0.750
0.250 0.250 0.250
```

***

Entry 9:
Computed, not measured: an optimized crystal structure of PrSm2AuO6 at the PBE level of DFT.

Output
calculated volume = 146.1 Å³ per cell
E = -7.347 eV per atom

```
PrSm2AuO6
1.0
3.804 0.000 0.000
-0.095 5.674 0.000
-1.677 -0.215 6.768
O Sm Pr Au
6 2 1 1
Direct
0.847 0.709 0.129
0.862 0.224 0.197
0.153 0.291 0.871
0.138 0.776 0.803
0.488 0.742 0.486
0.512 0.258 0.514
0.385 0.476 0.232
0.615 0.524 0.768
0.000 0.000 0.500
0.000 0.000 0.000
```

***

Entry 10:
Computed, not measured: an optimized crystal structure of SrPrAuO3 at the PBE level of DFT.

Output
calculated volume = 219.3 Å³ per cell
E = -6.359 eV per atom

```
SrPrAuO3
1.0
-0.832 -8.158 2.990
6.259 0.345 2.681
3.848 1.587 5.400
Pr Sr O Au
2 2 6 2
Direct
0.250 0.000 0.000
0.750 0.000 0.000
0.000 0.681 0.681
0.500 0.319 0.319
0.769 0.381 0.381
0.731 0.619 0.619
0.500 0.928 0.928
0.000 0.072 0.072
0.231 0.381 0.381
0.269 0.619 0.619
0.000 0.377 0.377
0.500 0.623 0.623
```

***

Entry 11:
Computed, not measured: an optimized crystal structure of PrTeAuO at the PBE level of DFT.

Output
calculated volume = 361.7 Å³ per cell
offset from the most stable computed form = 0.00 eV/f.u.

```
PrTeAuO
1.0
5.930 0.000 0.000
0.000 10.273 0.000
0.000 0.000 5.937
Te Pr O Au
4 4 4 4
Direct
0.000 0.284 0.250
0.500 0.716 0.250
0.500 0.284 0.750
0.000 0.716 0.750
0.000 0.888 0.250
0.500 0.888 0.750
0.000 0.112 0.750
0.500 0.112 0.250
0.750 0.000 0.499
0.250 0.000 0.501
0.750 0.000 0.999
0.250 0.000 0.001
0.750 0.500 0.747
0.250 0.500 0.753
0.250 0.500 0.253
0.750 0.500 0.247
```

***

Entry 12:
Computed, not measured: an optimized crystal structure of PrTeAuO at the PBE level of DFT.

Output
calculated volume = 347.9 Å³ per cell
offset from the most stable computed form = 0.16 eV/f.u.

```
PrTeAuO
1.0
-0.781 5.326 -2.440
-5.089 0.603 2.944
4.892 4.198 7.595
Au Pr Te O
4 4 4 4
Direct
0.500 0.750 0.500
0.500 0.250 0.500
0.000 0.250 0.500
0.000 0.750 0.500
0.250 0.000 0.117
0.750 0.000 0.883
0.750 0.500 0.117
0.250 0.500 0.883
0.750 0.500 0.705
0.250 0.500 0.295
0.250 0.000 0.705
0.750 0.000 0.295
0.000 0.250 0.000
0.000 0.750 0.000
0.500 0.750 0.000
0.500 0.250 0.000
```